No. 1
A relaxed Ba2NaCdIr crystal, computed with PBE.

Calculated values
Density of states at the Fermi level in states/eV/atom: 1.012
Mass density in g cm⁻³: 4.97
Calculated formation energy in eV/f.u.: 0.309
Final energy in eV/atom: -2.926

abc: 5.993 5.993 5.601
angles: 90.00 90.00 90.00
Sites, in units of the cell vectors:
Ba  0.000  0.500  0.000
Ba  0.500  0.000  0.000
Na  0.000  0.000  0.500
Cd  0.500  0.500  0.500
Ir  0.000  0.000  0.000

No. 2
A relaxed Ba2NaCdIr crystal, computed with PBE.

Calculated values
Density of states at the Fermi level in states/eV/atom: 0.662
Mass density in g cm⁻³: 5.08
Calculated formation energy in eV/f.u.: -0.436
Final energy in eV/atom: -3.075

abc: 6.052 6.052 5.377
angles: 90.00 90.00 90.00
Sites, in units of the cell vectors:
Ba  0.000  0.500  0.000
Ba  0.500  0.000  0.000
Na  0.000  0.000  0.500
Cd  0.500  0.500  0.500
Ir  0.500  0.500  0.000

No. 3
A relaxed BaNbCd2Ir crystal, computed with PBE.

Calculated values
Density of states at the Fermi level in states/eV/atom: 1.968
Mass density in g cm⁻³: 6.34
Calculated formation energy in eV/f.u.: 10.700
Final energy in eV/atom: -2.397

abc: 5.748 5.748 5.130
angles: 90.00 90.00 90.00
Sites, in units of the cell vectors:
Ba  0.000  0.000  0.000
Nb  0.500  0.500  0.500
Cd  0.000  0.500  0.000
Cd  0.500  0.000  0.000
Ir  0.000  0.000  0.500

No. 4
A relaxed Ba3CdIr2O9 crystal, computed with PBE.

Calculated values
Density of states at the Fermi level in states/eV/atom: 0.620
Mass density in g cm⁻³: 7.68
Final energy in eV/atom: -6.247

abc: 5.955 5.955 14.774
angles: 91.15 91.15 119.59
Sites, in units of the cell vectors:
Ba  0.008  0.992  0.750
Ba  0.325  0.662  0.415
Ba  0.338  0.675  0.085
Ba  0.662  0.325  0.915
Ba  0.675  0.338  0.585
Ba  0.992  0.008  0.250
Cd  0.000  0.000  0.000
Cd  0.000  0.000  0.500
Ir  0.317  0.646  0.836
Ir  0.354  0.683  0.664
Ir  0.646  0.317  0.336
Ir  0.683  0.354  0.164
O  0.030  0.510  0.737
O  0.138  0.780  0.911
O  0.140  0.316  0.898
O  0.220  0.397  0.574
O  0.220  0.862  0.589
O  0.316  0.140  0.398
O  0.397  0.220  0.074
O  0.490  0.970  0.763
O  0.491  0.509  0.750
O  0.509  0.491  0.250
O  0.510  0.030  0.237
O  0.603  0.780  0.926
O  0.684  0.860  0.602
O  0.780  0.138  0.411
O  0.780  0.603  0.426
O  0.860  0.684  0.102
O  0.862  0.220  0.089
O  0.970  0.490  0.263

No. 5
A relaxed BaCdIrO6 crystal, computed with PBE.

Calculated values
Density of states at the Fermi level in states/eV/atom: 0.591
Mass density in g cm⁻³: 5.83
Final energy in eV/atom: -5.698

abc: 5.690 5.690 5.468
angles: 90.00 90.00 120.00
Sites, in units of the cell vectors:
Ba  0.000  0.000  0.000
Cd  0.333  0.667  0.500
Ir  0.667  0.333  0.500
O  0.405  0.051  0.700
O  0.405  0.354  0.300
O  0.646  0.051  0.300
O  0.646  0.595  0.700
O  0.949  0.354  0.700
O  0.949  0.595  0.300

No. 6
A relaxed Ba3CdIr2O9 crystal, computed with PBE.

Calculated values
Density of states at the Fermi level in states/eV/atom: 0.465
Mass density in g cm⁻³: 8.05
Final energy in eV/atom: -6.220

abc: 5.884 5.884 7.242
angles: 90.00 90.00 120.00
Sites, in units of the cell vectors:
Ba  0.000  0.000  0.000
Ba  0.333  0.667  0.662
Ba  0.667  0.333  0.338
Cd  0.000  0.000  0.500
Ir  0.333  0.667  0.158
Ir  0.667  0.333  0.842
O  0.000  0.500  0.000
O  0.177  0.355  0.314
O  0.177  0.823  0.314
O  0.355  0.177  0.686
O  0.500  0.000  0.000
O  0.500  0.500  0.000
O  0.645  0.823  0.314
O  0.823  0.177  0.686
O  0.823  0.645  0.686

No. 7
A relaxed Ba2CdIr3O12 crystal, computed with PBE.

Calculated values
Density of states at the Fermi level in states/eV/atom: 0.541
Mass density in g cm⁻³: 7.41
Final energy in eV/atom: -6.213

abc: 7.024 7.024 7.024
angles: 62.52 62.52 62.52
Sites, in units of the cell vectors:
Ba  0.111  0.111  0.111
Ba  0.889  0.889  0.889
Cd  0.500  0.500  0.500
Ir  0.000  0.500  0.500
Ir  0.500  0.000  0.500
Ir  0.500  0.500  0.000
O  0.099  0.617  0.617
O  0.195  0.195  0.622
O  0.195  0.622  0.195
O  0.378  0.805  0.805
O  0.383  0.383  0.901
O  0.383  0.901  0.383
O  0.617  0.099  0.617
O  0.617  0.617  0.099
O  0.622  0.195  0.195
O  0.805  0.378  0.805
O  0.805  0.805  0.378
O  0.901  0.383  0.383

No. 8
A relaxed Ba2CdPIr crystal, computed with PBE.

Calculated values
Density of states at the Fermi level in states/eV/atom: 0.312
Mass density in g cm⁻³: 5.94
Calculated formation energy in eV/f.u.: -2.266
Final energy in eV/atom: -4.260

abc: 6.249 6.249 4.366
angles: 90.00 90.00 90.00
Sites, in units of the cell vectors:
Ba  0.000  0.500  0.000
Ba  0.500  0.000  0.000
Cd  0.000  0.000  0.500
P  0.500  0.500  0.000
Ir  0.500  0.500  0.500

No. 9
A relaxed Ba2CdPIr crystal, computed with PBE.

Calculated values
Density of states at the Fermi level in states/eV/atom: 0.783
Mass density in g cm⁻³: 5.81
Calculated formation energy in eV/f.u.: -2.117
Final energy in eV/atom: -4.230

abc: 6.266 6.266 4.446
angles: 90.00 90.00 90.00
Sites, in units of the cell vectors:
Ba  0.000  0.500  0.000
Ba  0.500  0.000  0.000
Cd  0.000  0.000  0.500
P  0.500  0.500  0.500
Ir  0.500  0.500  0.000

No. 10
A relaxed Ba2CdIrPb crystal, computed with PBE.

Calculated values
Density of states at the Fermi level in states/eV/atom: 0.753
Mass density in g cm⁻³: 6.59
Calculated formation energy in eV/f.u.: -0.951
Final energy in eV/atom: -3.656

abc: 6.156 6.156 5.227
angles: 90.00 90.00 90.00
Sites, in units of the cell vectors:
Ba  0.000  0.500  0.000
Ba  0.500  0.000  0.000
Cd  0.000  0.000  0.500
Ir  0.500  0.500  0.000
Pb  0.500  0.500  0.500

No. 11
A relaxed BaCd2IrPb crystal, computed with PBE.

Calculated values
Density of states at the Fermi level in states/eV/atom: 0.819
Mass density in g cm⁻³: 8.51
Calculated formation energy in eV/f.u.: -0.818
Final energy in eV/atom: -3.428

abc: 5.321 5.321 5.247
angles: 90.00 90.00 90.00
Sites, in units of the cell vectors:
Ba  0.000  0.000  0.000
Cd  0.000  0.500  0.500
Cd  0.500  0.000  0.500
Ir  0.500  0.500  0.500
Pb  0.500  0.500  0.000

No. 12
A relaxed Ba8CdIrPt2 crystal, computed with PBE.

Calculated values
Density of states at the Fermi level in states/eV/atom: 0.491
Mass density in g cm⁻³: 5.32
Calculated formation energy in eV/f.u.: -4.605
Final energy in eV/atom: -3.487

abc: 7.549 9.571 7.750
angles: 90.00 90.74 90.00
Sites, in units of the cell vectors:
Ba  0.210  0.000  0.347
Ba  0.236  0.500  0.318
Ba  0.267  0.275  0.822
Ba  0.267  0.725  0.822
Ba  0.733  0.275  0.178
Ba  0.733  0.725  0.178
Ba  0.764  0.500  0.682
Ba  0.790  0.000  0.653
Cd  0.500  0.000  0.000
Ir  0.500  0.500  0.000
Pt  0.000  0.256  0.500
Pt  0.000  0.744  0.500

No. 13
A relaxed RbBaCd2Ir crystal, computed with PBE.

Calculated values
Density of states at the Fermi level in states/eV/atom: 0.824
Mass density in g cm⁻³: 6.11
Calculated formation energy in eV/f.u.: -0.067
Final energy in eV/atom: -2.730

abc: 5.488 5.488 5.774
angles: 90.00 90.00 90.00
Sites, in units of the cell vectors:
Rb  0.000  0.000  0.000
Ba  0.500  0.500  0.000
Cd  0.000  0.500  0.500
Cd  0.500  0.000  0.500
Ir  0.500  0.500  0.500

No. 14
A relaxed RbBa2CdIr crystal, computed with PBE.

Calculated values
Density of states at the Fermi level in states/eV/atom: 0.443
Mass density in g cm⁻³: 5.27
Calculated formation energy in eV/f.u.: -0.116
Final energy in eV/atom: -2.941

abc: 6.130 6.130 5.575
angles: 90.00 90.00 90.00
Sites, in units of the cell vectors:
Rb  0.000  0.000  0.000
Ba  0.000  0.500  0.500
Ba  0.500  0.000  0.500
Cd  0.500  0.500  0.000
Ir  0.500  0.500  0.500

No. 15
A relaxed Ba2CdIrRu crystal, computed with PBE.

Calculated values
Density of states at the Fermi level in states/eV/atom: 1.022
Mass density in g cm⁻³: 6.37
Calculated formation energy in eV/f.u.: 1.484
Final energy in eV/atom: -4.283

abc: 6.162 6.162 4.673
angles: 90.00 90.00 90.00
Sites, in units of the cell vectors:
Ba  0.000  0.500  0.000
Ba  0.500  0.000  0.000
Cd  0.000  0.000  0.500
Ir  0.500  0.500  0.000
Ru  0.500  0.500  0.500

No. 16
A relaxed Ba2CdSbIr crystal, computed with PBE.

Calculated values
Density of states at the Fermi level in states/eV/atom: 0.730
Mass density in g cm⁻³: 6.01
Final energy in eV/atom: -3.886

abc: 6.201 6.201 5.034
angles: 90.00 90.00 90.00
Sites, in units of the cell vectors:
Ba  0.000  0.500  0.000
Ba  0.500  0.000  0.000
Cd  0.000  0.000  0.500
Sb  0.500  0.500  0.500
Ir  0.500  0.500  0.000

No. 17
A relaxed BaScCd2Ir crystal, computed with PBE.

Calculated values
Density of states at the Fermi level in states/eV/atom: 0.838
Mass density in g cm⁻³: 6.57
Calculated formation energy in eV/f.u.: 0.700
Final energy in eV/atom: -3.649

abc: 5.573 5.573 4.876
angles: 90.00 90.00 90.00
Sites, in units of the cell vectors:
Ba  0.000  0.000  0.000
Sc  0.500  0.500  0.500
Cd  0.000  0.500  0.500
Cd  0.500  0.000  0.500
Ir  0.500  0.500  0.000

No. 18
A relaxed Ba2CdSiIr crystal, computed with PBE.

Calculated values
Density of states at the Fermi level in states/eV/atom: 0.536
Mass density in g cm⁻³: 5.71
Final energy in eV/atom: -4.107

abc: 6.184 6.184 4.622
angles: 90.00 90.00 90.00
Sites, in units of the cell vectors:
Ba  0.000  0.500  0.000
Ba  0.500  0.000  0.000
Cd  0.000  0.000  0.500
Si  0.500  0.500  0.500
Ir  0.500  0.500  0.000

No. 19
A relaxed Ba2CdSnIr crystal, computed with PBE.

Calculated values
Density of states at the Fermi level in states/eV/atom: 0.604
Mass density in g cm⁻³: 6.00
Calculated formation energy in eV/f.u.: -1.441
Final energy in eV/atom: -3.813

abc: 6.152 6.152 5.104
angles: 90.00 90.00 90.00
Sites, in units of the cell vectors:
Ba  0.000  0.500  0.000
Ba  0.500  0.000  0.000
Cd  0.000  0.000  0.500
Sn  0.500  0.500  0.500
Ir  0.500  0.500  0.000

No. 20
A relaxed Ba2CdTeIr crystal, computed with PBE.

Calculated values
Density of states at the Fermi level in states/eV/atom: 0.421
Mass density in g cm⁻³: 6.30
Final energy in eV/atom: -3.947

abc: 6.006 6.006 5.167
angles: 90.00 90.00 90.00
Sites, in units of the cell vectors:
Ba  0.000  0.500  0.000
Ba  0.500  0.000  0.000
Cd  0.000  0.000  0.500
Te  0.500  0.500  0.500
Ir  0.000  0.000  0.000

No. 21
A relaxed BaTlCd2Ir crystal, computed with PBE.

Calculated values
Density of states at the Fermi level in states/eV/atom: 0.531
Mass density in g cm⁻³: 8.48
Calculated formation energy in eV/f.u.: -0.831
Final energy in eV/atom: -3.162

abc: 5.315 5.315 5.262
angles: 90.00 90.00 90.00
Sites, in units of the cell vectors:
Ba  0.000  0.000  0.000
Tl  0.500  0.500  0.000
Cd  0.000  0.500  0.500
Cd  0.500  0.000  0.500
Ir  0.500  0.500  0.500

No. 22
A relaxed BaZn2CdIr crystal, computed with PBE.

Calculated values
Density of states at the Fermi level in states/eV/atom: 0.473
Mass density in g cm⁻³: 7.41
Calculated formation energy in eV/f.u.: -1.260
Final energy in eV/atom: -3.101

abc: 4.943 4.943 5.257
angles: 90.00 90.00 90.00
Sites, in units of the cell vectors:
Ba  0.000  0.000  0.000
Zn  0.000  0.500  0.500
Zn  0.500  0.000  0.500
Cd  0.500  0.500  0.000
Ir  0.500  0.500  0.500

No. 23
A relaxed KBaCd2 crystal, computed with PBE.

Calculated values
Density of states at the Fermi level in states/eV/atom: 0.749
Mass density in g cm⁻³: 4.06
Calculated formation energy in eV/f.u.: -0.639
Final energy in eV/atom: -1.372

abc: 4.898 5.147 6.955
angles: 90.00 110.52 90.00
Sites, in units of the cell vectors:
K  0.000  0.000  0.000
Ba  0.707  0.500  0.415
Cd  0.290  0.000  0.582
Cd  0.413  0.500  0.826

No. 24
A relaxed KBa2Cd crystal, computed with PBE.

Calculated values
Density of states at the Fermi level in states/eV/atom: 1.516
Mass density in g cm⁻³: 3.34
Calculated formation energy in eV/f.u.: 0.017
Final energy in eV/atom: -1.460

abc: 15.319 4.424 7.016
angles: 90.00 116.98 90.00
Sites, in units of the cell vectors:
K  0.000  0.000  0.000
K  0.500  0.500  0.000
Ba  0.206  0.000  0.706
Ba  0.294  0.500  0.294
Ba  0.706  0.500  0.706
Ba  0.794  0.000  0.294
Cd  0.000  0.500  0.500
Cd  0.500  0.000  0.500

No. 25
A relaxed KBa2Cd crystal, computed with PBE.

Calculated values
Density of states at the Fermi level in states/eV/atom: 1.094
Mass density in g cm⁻³: 3.36
Calculated formation energy in eV/f.u.: -0.187
Final energy in eV/atom: -1.511

abc: 4.403 4.403 10.863
angles: 90.00 90.00 90.00
Sites, in units of the cell vectors:
K  0.000  0.000  0.000
Ba  0.000  0.000  0.626
Ba  0.500  0.500  0.323
Cd  0.500  0.500  0.793

No. 26
A relaxed K3BaCd crystal, computed with PBE.

Calculated values
Density of states at the Fermi level in states/eV/atom: 0.932
Mass density in g cm⁻³: 1.89
Calculated formation energy in eV/f.u.: 0.736
Final energy in eV/atom: -1.079

abc: 6.854 6.854 6.854
angles: 90.00 90.00 90.00
Sites, in units of the cell vectors:
K  0.000  0.000  0.500
K  0.000  0.500  0.000
K  0.500  0.000  0.000
Ba  0.500  0.500  0.500
Cd  0.000  0.000  0.000